## NbAlPt2 (PBE-GGA)

Data for NbAlPt2 after structural relaxation.

Properties
As for the formation energy: -0.824 eV per atom. The calculation puts the calculated volume at 15.54 Å³ per atom. The value obtained for the calculated total energy is -7.30 eV/atom.

a b c (Å): 2.8869 2.8869 7.4607
angles (deg): 90.00 90.00 90.00
Atoms (fractional coordinates):
Pt: 0.0000 0.0000 0.7763
Nb: 0.5000 0.5000 0.5000
Al: 0.5000 0.5000 0.0000
Pt: 0.0000 0.0000 0.2237

## Sm6Dy3Ho (PBE-GGA)

Data for Sm6Dy3Ho after structural relaxation.

Properties
As for the formation energy: 0.126 eV per atom. The calculation puts the calculated volume at 33.18 Å³ per atom. The energy above the most stable polymorph in this dataset is 0 meV per atom. The value obtained for the calculated total energy is -4.54 eV/atom.

a b c (Å): 6.4054 11.6828 11.6828
angles (deg): 130.63 90.00 90.00
Atoms (fractional coordinates):
Dy: 0.9899 0.0418 0.2939
Sm: 0.0687 0.3795 0.2589
Dy: 0.4899 0.9582 0.7061
Sm: 0.8244 0.8943 0.4560
Sm: 0.3244 0.4560 0.8943
Dy: 0.4899 0.2939 0.0418
Sm: 0.5687 0.2589 0.3795
Dy: 0.0898 0.4199 0.5801
Sm: 0.7945 0.3007 0.6993
Dy: 0.9899 0.7061 0.9582
Ho: 0.5157 0.8410 0.1590
Sm: 0.8244 0.5440 0.1057
Sm: 0.5687 0.6205 0.7411
Ho: 0.0157 0.1590 0.8410
Sm: 0.3194 0.9841 0.0159
Sm: 0.8194 0.0159 0.9841
Sm: 0.2945 0.6993 0.3007
Sm: 0.0687 0.7411 0.6205
Dy: 0.5898 0.5801 0.4199
Sm: 0.3244 0.1057 0.5440

## Zn5B2Pd12 (PBE-GGA)

Data for Zn5B2Pd12 after structural relaxation.

Properties
As for the formation energy: -0.303 eV per atom. The calculation puts the calculated volume at 14.64 Å³ per atom. The value obtained for the calculated total energy is -4.62 eV/atom.

a b c (Å): 5.6143 8.6722 7.1165
angles (deg): 120.05 90.00 108.89
Atoms (fractional coordinates):
Pd: 0.0328 0.0657 0.2131
Pd: 0.5949 0.7009 0.8773
Pd: 0.4925 0.9849 0.2653
Pd: 0.4065 0.2956 0.6312
Zn: 0.2439 0.4879 0.4948
Pd: 0.9672 0.9343 0.7869
Pd: 0.1109 0.7044 0.3688
Pd: 0.5075 0.0151 0.7347
Pd: 0.5935 0.7044 0.3688
B: 0.6785 0.0000 0.0000
Pd: 0.8940 0.2991 0.1227
Pd: 0.4051 0.2991 0.1227
Zn: 0.7532 0.5065 0.0060
Zn: 0.2468 0.4935 0.9940
Pd: 0.1060 0.7009 0.8773
Zn: 0.7561 0.5121 0.5052
Pd: 0.8891 0.2956 0.6312
Zn: 0.0000 0.0000 0.5000
B: 0.3215 0.0000 0.0000